Computed, not measured: a geometry-optimized K3CoAg2F9 structure at the PBE with a Hubbard U level of DFT.

magnetization = 1.0 μB per formula unit
total DFT energy (no corrections) = -0.1499 Ha/atom

```
data_K3CoAg2F9
_chemical_formula_sum 'K3 Co1 Ag2 F9'
_cell_length_a 6.078
_cell_length_b 6.078
_cell_length_c 7.422
_cell_angle_alpha 90.00
_cell_angle_beta 90.00
_cell_angle_gamma 120.00
_symmetry_space_group_name_H-M 'P 1'
_symmetry_Int_Tables_number 1
loop_
_symmetry_equiv_pos_as_xyz
'x,y,z'
loop_
_atom_site_label
_atom_site_fract_x
_atom_site_fract_y
_atom_site_fract_z
K1 0.000 0.000 0.000
K2 0.333 0.667 0.686
K3 0.667 0.333 0.314
Co1 0.000 0.000 0.500
Ag1 0.333 0.667 0.185
Ag2 0.667 0.333 0.815
F1 0.000 0.500 0.000
F2 0.147 0.294 0.354
F3 0.147 0.853 0.354
F4 0.294 0.147 0.646
F5 0.500 0.000 0.000
F6 0.500 0.500 0.000
F7 0.706 0.853 0.354
F8 0.853 0.147 0.646
F9 0.853 0.706 0.646
```